# VBiP2S PBE relaxed
data_VBiP2S
_chemical_formula_sum 'V1 Bi1 P2 S1'
_space_group_name_H-M_alt 'P 1'
_space_group_IT_number 1
_cell_length_a 5.1658
_cell_length_b 5.1658
_cell_length_c 5.1157
_cell_angle_alpha 90.00
_cell_angle_beta 90.00
_cell_angle_gamma 90.00
loop_
_space_group_symop_operation_xyz
'x,y,z'
loop_
_atom_site_label
_atom_site_fract_x
_atom_site_fract_y
_atom_site_fract_z
V1 0.0000 0.0000 0.0000
Bi1 0.5000 0.5000 0.5000
P1 0.0000 0.5000 0.5000
P2 0.5000 0.0000 0.5000
S1 0.5000 0.5000 0.0000
# Formation energy from raw total energies = 1.603 eV/atom
# VASP energy = -3.987 eV/atom
# Theoretical density = 4.31 Mg/m³
# Total moment = 0.43 μB per formula unit

# BiP2WS PBE relaxed
data_BiP2WS
_chemical_formula_sum 'Bi1 P2 W1 S1'
_space_group_name_H-M_alt 'P 1'
_space_group_IT_number 1
_cell_length_a 5.1309
_cell_length_b 5.1309
_cell_length_c 5.0763
_cell_angle_alpha 90.00
_cell_angle_beta 90.00
_cell_angle_gamma 90.00
loop_
_space_group_symop_operation_xyz
'x,y,z'
loop_
_atom_site_label
_atom_site_fract_x
_atom_site_fract_y
_atom_site_fract_z
Bi1 0.0000 0.0000 0.0000
P1 0.0000 0.5000 0.0000
P2 0.5000 0.0000 0.0000
W1 0.5000 0.5000 0.5000
S1 0.0000 0.0000 0.5000
# Formation energy from raw total energies = 2.007 eV/atom
# VASP energy = -4.349 eV/atom
# Theoretical density = 6.05 Mg/m³
# Total moment = 2.35 μB per formula unit

Which of these has the lowest formation energy from raw total energies?
VBiP2S

Among the records above, which one has the highest theoretical density?
BiP2WS

Which value of formation energy from raw total energies does entry 1 give?
1.603 eV/atom